VASP calculation (GGA-PBEsol) on Mg2AsW after structural relaxation.

a = 4.605 Å, b = 2.821 Å, c = 10.758 Å
α = 90.00°, β = 90.00°, γ = 90.00°
Space group Amm2 (No. 38)
Asymmetric unit:
1 Mg 0.000 0.000 0.000
2 Mg 0.500 0.000 0.356
3 As 0.000 0.000 0.730
4 W 0.500 0.000 0.619

Properties
M_tot = 0.00 μB/f.u.
density of states at the Fermi level = 0.34 states/eV/atom
formation enthalpy at 0 K = 0.182 eV/atom



VASP calculation (GGA-PBEsol) on Mg2AsW after structural relaxation.

a = 9.521 Å, b = 2.837 Å, c = 5.142 Å
α = 90.00°, β = 95.78°, γ = 90.00°
Space group Cm (No. 8)
Asymmetric unit:
1 Mg 0.000 0.000 0.000
2 Mg 0.243 0.000 0.760
3 As 0.482 0.000 0.454
4 W 0.243 0.500 0.265

Properties
M_tot = 0.00 μB/f.u.
density of states at the Fermi level = 0.70 states/eV/atom
formation enthalpy at 0 K = 0.256 eV/atom



VASP calculation (GGA-PBEsol) on MgAsW2 after structural relaxation.

a = 2.785 Å, b = 4.547 Å, c = 5.125 Å
α = 90.00°, β = 93.49°, γ = 90.00°
Space group P2/m (No. 10)
Asymmetric unit:
1 Mg 0.000 0.000 0.000
2 As 0.500 0.000 0.500
3 W 0.352 0.500 0.756

Properties
M_tot = 0.00 μB/f.u.
density of states at the Fermi level = 0.67 states/eV/atom
formation enthalpy at 0 K = 0.433 eV/atom



VASP calculation (GGA-PBEsol) on Y2MgAs after structural relaxation.

a = 3.8985 Å, b = 3.8985 Å, c = 24.8857 Å
α = 90.00°, β = 90.00°, γ = 120.00°
Space group R-3m (No. 166, hexagonal axes)
Asymmetric unit:
1 Y 0.0000 0.0000 0.2331
2 Mg 0.0000 0.0000 0.0000
3 As 0.0000 0.0000 0.5000

Properties
M_tot = 0.00 μB/f.u.
density of states at the Fermi level = 0.76 states/eV/atom
formation enthalpy at 0 K = -0.708 eV/atom